First-principles (PBE) data for a relaxed structure of AsSeF3, as listed in the Alexandria database.

Structure (extended XYZ):
```
5
Lattice="4.4160 0.0000 0.0000 0.0000 4.4160 0.0000 0.0000 0.0000 4.4160" Properties=species:S:1:pos:R:3 pbc="T T T"
As 2.2080 2.2080 2.2080
Se 0.0000 0.0000 0.0000
F 0.0000 2.2080 0.0000
F 0.0000 0.0000 2.2080
F 2.2080 0.0000 0.0000
```

**SG**: No. 221
**Size of the total moment**: 0.414 μB/atom
**Final energy**: -3.0704 eV/atom
**Formation energy without anion corrections**: -0.321 eV/atom